First-principles (PBE+U) data for an optimized crystal structure of Mg2MnZnO4, as listed in Alexandria via LeMat-Bulk.

Calculated values
electronic total energy = -6.03 eV per atom
magnetization = 5.00 μB/cell

abc: 5.7051 5.7051 5.7051
angles: 131.56 131.56 70.93
Closest atoms and distances in Å follow each position.
Atoms (fractional coordinates):
Mg: 0.2500 0.7500 0.5000  4 O 2.00
Mg: 0.7500 0.2500 0.5000  4 O 2.00
Mn: 0.0000 0.0000 0.0000  4 O 2.09
Zn: 0.5000 0.5000 0.0000  4 O 2.01
O: 0.1268 0.6131 0.0000  2 Mg 2.00, 1 Zn 2.01, 1 Mn 2.09
O: 0.3869 0.3869 0.5137  2 Mg 2.00, 1 Zn 2.01, 1 Mn 2.09
O: 0.6131 0.1268 0.0000  2 Mg 2.00, 1 Zn 2.01, 1 Mn 2.09
O: 0.8732 0.8732 0.4864  2 Mg 2.00, 1 Zn 2.01, 1 Mn 2.09